[1]
A plane-wave DFT calculation with GGA-PBE was carried out for TaVMoPb2 after structural relaxation.

Output
As for the space-group type: P4/mmm. The formation energy comes out at 1.498 eV/atom.

Geometry as POSCAR:
```
TaVMoPb2
1.0
5.1895 0.0000 0.0000
0.0000 5.1895 0.0000
0.0000 0.0000 4.3353
Ta V Mo Pb
1 1 1 2
Cartesian
0.0000 0.0000 0.0000 Ta
2.5948 2.5948 2.1677 V
2.5948 2.5948 0.0000 Mo
0.0000 2.5948 2.1677 Pb
2.5948 0.0000 2.1677 Pb
```

[2]
A plane-wave DFT calculation with GGA-PBE was carried out for TcMoPb after structural relaxation.

Output
For the energy above the lowest structure with this stoichiometry, the calculation gives 0.097 eV/atom. As for the space-group type: P3m1. The formation energy comes out at 0.535 eV/atom.

Geometry as POSCAR:
```
TcMoPb
1.0
3.1557 0.0000 0.0000
-1.5778 2.7329 0.0000
0.0000 0.0000 6.8982
Tc Mo Pb
1 1 1
Cartesian
0.0000 0.0000 0.0000 Tc
1.5778 0.9110 1.6810 Mo
0.0000 1.8219 4.3070 Pb
```

[3]
A plane-wave DFT calculation with GGA-PBE was carried out for TcMoPb2 after structural relaxation.

Output
For the energy above the lowest structure with this stoichiometry, the calculation gives 0.675 eV/atom. As for the space-group type: I-4m2. The formation energy comes out at 0.942 eV/atom.

Geometry as POSCAR:
```
TcMoPb2
1.0
-2.0838 2.0838 4.5977
2.0838 -2.0838 4.5977
2.0838 2.0838 -4.5977
Tc Mo Pb
1 1 2
Cartesian
0.0000 0.0000 0.0000 Tc
2.0838 0.0000 2.2988 Mo
0.0000 0.0000 4.5977 Pb
0.0000 2.0838 2.2988 Pb
```

[4]
A plane-wave DFT calculation with GGA-PBE was carried out for TcMoPb after structural relaxation.

Output
For the energy above the lowest structure with this stoichiometry, the calculation gives 0.000 eV/atom. As for the space-group type: I4mm. The formation energy comes out at 0.438 eV/atom.

Geometry as POSCAR:
```
TcMoPb
1.0
-1.5527 1.5527 5.8071
1.5527 -1.5527 5.8071
1.5527 1.5527 -5.8071
Tc Mo Pb
1 1 1
Cartesian
0.0000 0.0000 0.0000 Tc
0.0000 0.0000 4.4117 Mo
0.0000 0.0000 7.9728 Pb
```

[5]
A plane-wave DFT calculation with GGA-PBE was carried out for TcMoPb2 after structural relaxation.

Output
For the energy above the lowest structure with this stoichiometry, the calculation gives 0.582 eV/atom. As for the space-group type: C2/m. The formation energy comes out at 0.849 eV/atom.

Geometry as POSCAR:
```
TcMoPb2
1.0
4.4838 -1.6155 0.0000
4.4838 1.6155 0.0000
-1.1673 0.0000 5.4981
Tc Mo Pb
1 1 2
Cartesian
0.0000 0.0000 0.0000 Tc
3.9002 0.0000 2.7491 Mo
1.3815 0.0000 4.1485 Pb
6.4189 0.0000 1.3496 Pb
```

[6]
A plane-wave DFT calculation with GGA-PBE was carried out for TcMoPb2 after structural relaxation.

Output
For the energy above the lowest structure with this stoichiometry, the calculation gives 0.170 eV/atom. As for the space-group type: R3m. The formation energy comes out at 0.436 eV/atom.

Geometry as POSCAR:
```
TcMoPb2
1.0
1.5953 0.9211 10.6244
-1.5953 0.9211 10.6244
0.0000 -1.8421 10.6244
Tc Mo Pb
1 1 2
Cartesian
0.0000 0.0000 0.0000 Tc
0.0000 0.0000 22.9186 Mo
0.0000 0.0000 8.0298 Pb
0.0000 0.0000 14.9345 Pb
```

[7]
A plane-wave DFT calculation with GGA-PBE was carried out for TcMoPb3 after structural relaxation.

Output
For the energy above the lowest structure with this stoichiometry, the calculation gives 0.000 eV/atom. As for the space-group type: Pm-3m. The formation energy comes out at 1.197 eV/atom.

Geometry as POSCAR:
```
TcMoPb3
1.0
5.3173 0.0000 0.0000
0.0000 5.3173 0.0000
0.0000 0.0000 5.3173
Tc Mo Pb
1 1 3
Cartesian
0.0000 0.0000 0.0000 Tc
2.6586 2.6586 2.6586 Mo
0.0000 0.0000 2.6586 Pb
0.0000 2.6586 0.0000 Pb
2.6586 0.0000 0.0000 Pb
```

[8]
A plane-wave DFT calculation with GGA-PBE was carried out for TcMoPb2 after structural relaxation.

Output
For the energy above the lowest structure with this stoichiometry, the calculation gives 0.350 eV/atom. As for the space-group type: Imm2. The formation energy comes out at 0.616 eV/atom.

Geometry as POSCAR:
```
TcMoPb2
1.0
-1.6226 2.4367 5.8089
1.6226 -2.4367 5.8089
1.6226 2.4367 -5.8089
Tc Mo Pb
1 1 2
Cartesian
0.0000 0.0000 0.0000 Tc
1.6226 0.0000 1.7495 Mo
0.0000 0.0000 5.1400 Pb
0.0000 2.4367 2.5946 Pb
```